! PmDy8Ni2 PBE-GGA optimized geometry; values from VASP
&SYSTEM
  ibrav = 0, nat = 11, ntyp = 3
/
ATOMIC_SPECIES
Dy 162.50 Dy.upf
Ni 58.69 Ni.upf
Pm 145.00 Pm.upf
CELL_PARAMETERS angstrom
3.5773 0.0000 -0.6849
-0.5907 8.0323 -3.0853
0.3404 -1.3141 11.4628
ATOMIC_POSITIONS crystal
Dy 0.7679 0.8558 0.5358
Dy 0.9554 0.6112 0.9108
Dy 0.2321 0.1442 0.4642
Dy 0.6754 0.4028 0.3509
Dy 0.0446 0.3888 0.0892
Dy 0.3940 0.2185 0.7881
Dy 0.3246 0.5972 0.6491
Ni 0.8270 0.3391 0.6539
Dy 0.6060 0.7815 0.2119
Pm 0.5000 0.0000 0.0000
Ni 0.1730 0.6609 0.3461
! volume = 316.2 Å³ per cell
! magnetization = 0.0 Bohr magnetons per cell
! symmetry = C2/m (12)
! VASP energy = -4.901 eV per atom

---

! PmPr3NdTm PBE-GGA optimized geometry; values from VASP
&SYSTEM
  ibrav = 0, nat = 12, ntyp = 4
/
ATOMIC_SPECIES
Pr 140.91 Pr.upf
Tm 168.93 Tm.upf
Pm 145.00 Pm.upf
Nd 144.24 Nd.upf
CELL_PARAMETERS angstrom
-1.9215 -3.3828 4.5708
5.5490 3.3106 0.8417
-6.2126 9.3230 4.2882
ATOMIC_POSITIONS crystal
Pr 0.8287 0.6574 0.2500
Pr 0.1713 0.3426 0.7500
Tm 0.8503 0.7006 0.7500
Pm 0.5217 0.0434 0.2500
Tm 0.1497 0.2994 0.2500
Nd 0.0000 0.0000 0.5000
Pr 0.3268 0.6535 0.4784
Pm 0.4783 0.9566 0.7500
Nd 0.0000 0.0000 0.0000
Pr 0.3268 0.6535 0.0216
Pr 0.6732 0.3465 0.9784
Pr 0.6732 0.3465 0.5216
! volume = 416.5 Å³ per cell
! magnetization = 0.0 Bohr magnetons per cell
! symmetry = Cmcm (63)
! VASP energy = -4.620 eV per atom

---

! TbY2UAs4 PBE-GGA optimized geometry; values from VASP
&SYSTEM
  ibrav = 0, nat = 8, ntyp = 4
/
ATOMIC_SPECIES
Tb 158.93 Tb.upf
As 74.92 As.upf
Y 88.91 Y.upf
U 238.03 U.upf
CELL_PARAMETERS angstrom
4.1024 0.0000 0.0000
0.0000 7.1268 0.1409
0.0000 -2.4745 6.6842
ATOMIC_POSITIONS crystal
Tb 0.0000 0.0000 0.0000
As 0.0000 0.2529 0.7524
As 0.5000 0.7463 0.7528
As 0.5000 0.2537 0.2472
As 0.0000 0.7471 0.2476
Y 0.5000 0.0000 0.5000
Y 0.0000 0.5000 0.5000
U 0.5000 0.5000 0.0000
! volume = 196.9 Å³ per cell
! magnetization = 2.3 Bohr magnetons per cell
! symmetry = P2/m (10)
! VASP energy = -7.273 eV per atom

---

! ReHg2AsCl PBE-GGA optimized geometry; values from VASP
&SYSTEM
  ibrav = 0, nat = 5, ntyp = 4
/
ATOMIC_SPECIES
Re 186.21 Re.upf
As 74.92 As.upf
Hg 200.59 Hg.upf
Cl 35.45 Cl.upf
CELL_PARAMETERS angstrom
5.5645 0.0000 0.0000
0.0000 4.3219 0.0000
0.0000 0.0000 5.5645
ATOMIC_POSITIONS crystal
Re 0.0000 0.5000 0.0000
As 0.5000 0.5000 0.5000
Hg 0.5000 0.0000 0.0000
Cl 0.0000 0.0000 0.0000
Hg 0.0000 0.0000 0.5000
! E_form (uncorrected) = 1484 meV per atom
! volume = 133.8 Å³ per cell
! magnetization = 1.8 Bohr magnetons per cell
! symmetry = P4/mmm (123)

---

! TiRuRh PBE-GGA optimized geometry; values from VASP
&SYSTEM
  ibrav = 0, nat = 3, ntyp = 3
/
ATOMIC_SPECIES
Rh 102.91 Rh.upf
Ti 47.87 Ti.upf
Ru 101.07 Ru.upf
CELL_PARAMETERS angstrom
-2.4356 1.7755 -0.3760
-0.6520 -1.4432 -2.5919
-1.1363 -3.3273 3.9183
ATOMIC_POSITIONS crystal
Rh 0.6044 0.6044 0.2088
Ti 0.9463 0.9463 0.8925
Ru 0.2993 0.2993 0.5987
! energy relative to the lowest polymorph listed for this composition = 0.00 eV/f.u.
! volume = 44.3 Å³ per cell
! magnetization = 0.0 Bohr magnetons per cell
! symmetry = I4mm (107)

---

! Ru4S PBE-GGA optimized geometry; values from VASP
&SYSTEM
  ibrav = 0, nat = 5, ntyp = 2
/
ATOMIC_SPECIES
Ru 101.07 Ru.upf
S 32.06 S.upf
CELL_PARAMETERS angstrom
4.2830 0.0000 0.0000
0.0000 4.2830 0.0000
0.0000 0.0000 4.2830
ATOMIC_POSITIONS crystal
Ru 0.5000 0.5000 0.0000
Ru 0.0000 0.5000 0.5000
Ru 0.5000 0.0000 0.5000
S 0.5000 0.5000 0.5000
Ru 0.0000 0.0000 0.0000
! E_form (uncorrected) = 824 meV per atom
! volume = 78.6 Å³ per cell
! magnetization = 0.7 Bohr magnetons per cell
! symmetry = Pm-3m (221)

---

Number 1: N(E_F) 14.4 states/eV/f.u.. Number 2: N(E_F) 9.9 states/eV/f.u.. Number 3: N(E_F) 8.2 states/eV/f.u.. Number 4: N(E_F) 4.1 states/eV/f.u.. Number 5: N(E_F) 3.8 states/eV/f.u.. Number 6: N(E_F) 8.1 states/eV/f.u..